Below is Mg2HgP after structural relaxation, with properties calculated at the PBE level.

## Properties
Magnetization: 0.00 μB/f.u.
Final energy: -18.89 eV per cell

Geometry as POSCAR:
```
Mg2HgP
1.0
7.210 0.000 0.000
0.000 7.210 0.000
3.605 3.605 3.656
P Mg Hg
2 4 2
Cartesian
3.605 3.605 0.000
3.605 7.210 1.828
5.059 1.803 0.914
2.151 5.408 0.914
5.408 5.756 2.742
9.013 8.665 2.742
7.210 3.605 1.828
0.000 0.000 0.000
```